This record from OQMD via LeMat-Bulk describes crystalline NaBeCoTe at its relaxed geometry. The functional is GGA-PBE.

The total moment comes out at 1.13 μB/f.u. The value obtained for the distance to the lowest polymorph of the same formula is 0.253 eV/atom. For the mass density, the calculation gives 5.41 g/cm3. The volume comes out at 268.5 Å³ per cell.

It has space group F-43m (No. 216), with a = 6.451 Å, b = 6.451 Å, c = 6.451 Å, α = 90.00°, β = 90.00° and γ = 90.00°. The inequivalent atoms are Na at (0.000, 0.000, 0.000), Be at (0.000, 0.000, 0.500), Co at (0.250, 0.250, 0.750) and Te at (0.250, 0.250, 0.250).